# Th6Ru3Au, optimized geometry, DFT GGA-PBE
data_Th6Ru3Au
_symmetry_space_group_name_H-M 'P 1 21/m 1'
_symmetry_Int_Tables_number 11
_symmetry_space_group_name_Hall '-P 2yb'
_cell_length_a 11.823
_cell_length_b 4.104
_cell_length_c 12.178
_cell_angle_alpha 90.00
_cell_angle_beta 110.84
_cell_angle_gamma 90.00
loop_
_atom_site_label
_atom_site_fract_x
_atom_site_fract_y
_atom_site_fract_z
Th1 0.041 0.250 0.383
Th2 0.079 0.250 0.916
Th3 0.252 0.250 0.706
Th4 0.252 0.750 0.268
Th5 0.425 0.750 0.566
Th6 0.432 0.250 0.103
Ru1 0.102 0.250 0.157
Ru2 0.173 0.750 0.528
Ru3 0.498 0.750 0.271
Au1 0.293 0.750 0.910
# **ΔE_f**: -0.427 eV per atom